Entry 1:
# GeBiBr3

Crystalline GeBiBr3 at its relaxed geometry (GGA-PBE, Alexandria).

Cell lengths 5.784, 5.784, 5.784 Å; angles 90.00, 90.00, 90.00 degrees
Element x y z (fractional)
1 Ge 0.000 0.000 0.000
2 Bi 0.500 0.500 0.500
3 Br 0.000 0.500 0.500
4 Br 0.500 0.000 0.500
5 Br 0.500 0.500 0.000

Summary:
Spin magnetization, μB per formula unit: 1.6
Formation energy without anion corrections, meV per atom: 123
Calculated total energy, eV for the cell shown: -12.901
Volume, Å³ per atom: 38.69
Energy above the most stable polymorph in this dataset, eV per atom: 0.163
SG: Pm-3m, No. 221

***

Entry 2:
# FeNi2

Crystalline FeNi2 at its relaxed geometry (GGA-PBE, Alexandria).

Cell lengths 6.674, 6.674, 4.110 Å; angles 90.00, 90.00, 158.55 degrees
Element x y z (fractional)
1 Fe 0.219 0.781 0.750
2 Fe 0.781 0.219 0.250
3 Ni 0.112 0.888 0.250
4 Ni 0.446 0.554 0.250
5 Ni 0.554 0.446 0.750
6 Ni 0.888 0.112 0.750

Summary:
Spin magnetization, μB per formula unit: 3.7
Calculated total energy, eV for the cell shown: -40.007
Volume, Å³ per atom: 11.16
Energy relative to the elements, eV/f.u.: 0.02
SG: Cmcm, No. 63

***

Entry 3:
# Ca2MgGe4Au3

Crystalline Ca2MgGe4Au3 at its relaxed geometry (GGA-PBE, Alexandria).

Cell lengths 4.308, 4.308, 11.463 Å; angles 90.00, 90.00, 90.00 degrees
Element x y z (fractional)
1 Ca 0.000 0.500 0.247
2 Ca 0.500 0.000 0.753
3 Mg 0.500 0.500 0.000
4 Ge 0.000 0.000 0.500
5 Ge 0.000 0.500 0.858
6 Ge 0.500 0.000 0.142
7 Ge 0.500 0.500 0.500
8 Au 0.000 0.000 0.000
9 Au 0.000 0.500 0.639
10 Au 0.500 0.000 0.361

Summary:
Spin magnetization, μB per formula unit: 0.0
Calculated total energy, eV for the cell shown: -38.634
Volume, Å³ per atom: 21.28
Energy relative to the elements, eV/f.u.: -4.73
SG: P-4m2, No. 115

***

Entry 4:
# Pu2SiGe

Crystalline Pu2SiGe at its relaxed geometry (GGA-PBE, Alexandria).

Cell lengths 4.950, 4.950, 4.950 Å; angles 60.00, 60.00, 60.00 degrees
Element x y z (fractional)
1 Pu 0.250 0.250 0.250
2 Pu 0.750 0.750 0.750
3 Si 0.000 0.000 0.000
4 Ge 0.500 0.500 0.500

Summary:
Spin magnetization, μB per formula unit: 11.0
Formation energy without anion corrections, meV per atom: -306
Calculated total energy, eV for the cell shown: -39.929
Volume, Å³ per atom: 21.44
Energy above the most stable polymorph in this dataset, eV per atom: 0.107
SG: Fm-3m, No. 225

***

Entry 5:
# Ac2Ga3Sn

Crystalline Ac2Ga3Sn at its relaxed geometry (GGA-PBE, Alexandria).

Cell lengths 9.100, 9.001, 6.513 Å; angles 69.73, 68.10, 42.17 degrees
Element x y z (fractional)
1 Ac 0.248 0.752 0.248
2 Ac 0.250 0.250 0.250
3 Ac 0.750 0.750 0.750
4 Ac 0.752 0.248 0.752
5 Ga 0.180 0.660 0.820
6 Ga 0.340 0.340 0.660
7 Ga 0.340 0.820 0.660
8 Ga 0.660 0.180 0.340
9 Ga 0.660 0.660 0.340
10 Ga 0.820 0.340 0.180
11 Sn 0.167 0.167 0.833
12 Sn 0.833 0.833 0.167

Summary:
Spin magnetization, μB per formula unit: 0.0
Calculated total energy, eV for the cell shown: -50.274
Volume, Å³ per atom: 27.52
Energy relative to the elements, eV/f.u.: -3.84
SG: Fmmm, No. 69

***

Entry 6:
# NaTi3S6

Crystalline NaTi3S6 at its relaxed geometry (GGA-PBE, Alexandria).

Cell lengths 11.078, 3.440, 11.277 Å; angles 90.00, 106.41, 90.00 degrees
Element x y z (fractional)
1 Na 0.133 0.250 0.328
2 Na 0.867 0.750 0.672
3 Ti 0.133 0.250 0.962
4 Ti 0.265 0.750 0.759
5 Ti 0.422 0.250 0.585
6 Ti 0.578 0.750 0.415
7 Ti 0.735 0.250 0.241
8 Ti 0.867 0.750 0.038
9 S 0.097 0.750 0.110
10 S 0.102 0.250 0.734
11 S 0.253 0.750 0.538
12 S 0.290 0.750 0.978
13 S 0.416 0.250 0.367
14 S 0.426 0.250 0.799
15 S 0.574 0.750 0.201
16 S 0.584 0.750 0.633
17 S 0.710 0.250 0.022
18 S 0.747 0.250 0.462
19 S 0.898 0.750 0.266
20 S 0.903 0.250 0.890

Summary:
Spin magnetization, μB per formula unit: 0.0
Formation energy without anion corrections, meV per atom: -1311
Calculated total energy, eV for the cell shown: -125.759
Volume, Å³ per atom: 20.61
SG: P2_1/m, No. 11

***

Entry 7:
# BaIn12Ir4

Crystalline BaIn12Ir4 at its relaxed geometry (GGA-PBE, Alexandria).

Cell lengths 8.993, 8.993, 8.993 Å; angles 109.47, 109.47, 109.47 degrees
Element x y z (fractional)
1 Ba 0.000 0.000 0.000
2 In 0.000 0.259 0.741
3 In 0.000 0.741 0.259
4 In 0.259 0.000 0.741
5 In 0.259 0.259 0.517
6 In 0.259 0.517 0.259
7 In 0.259 0.741 0.000
8 In 0.483 0.741 0.741
9 In 0.517 0.259 0.259
10 In 0.741 0.000 0.259
11 In 0.741 0.259 0.000
12 In 0.741 0.483 0.741
13 In 0.741 0.741 0.483
14 Ir 0.000 0.000 0.500
15 Ir 0.000 0.500 0.000
16 Ir 0.500 0.000 0.000
17 Ir 0.500 0.500 0.500

Summary:
Spin magnetization, μB per formula unit: 0.0
Calculated total energy, eV for the cell shown: -72.741
Volume, Å³ per atom: 32.94
Energy relative to the elements, eV/f.u.: -2.51
SG: Im-3m, No. 229

***

Entry 8:
# La6Pr12Er

Crystalline La6Pr12Er at its relaxed geometry (GGA-PBE, Alexandria).

Cell lengths 8.856, 8.856, 8.856 Å; angles 89.64, 89.64, 89.64 degrees
Element x y z (fractional)
1 La 0.201 0.766 0.595
2 La 0.234 0.405 0.799
3 La 0.405 0.799 0.234
4 La 0.595 0.201 0.766
5 La 0.766 0.595 0.201
6 La 0.799 0.234 0.405
7 Pr 0.033 0.936 0.282
8 Pr 0.064 0.718 0.967
9 Pr 0.138 0.479 0.317
10 Pr 0.282 0.033 0.936
11 Pr 0.317 0.138 0.479
12 Pr 0.479 0.317 0.138
13 Pr 0.521 0.683 0.862
14 Pr 0.683 0.862 0.521
15 Pr 0.718 0.967 0.064
16 Pr 0.862 0.521 0.683
17 Pr 0.936 0.282 0.033
18 Pr 0.967 0.064 0.718
19 Er 0.500 0.500 0.500

Summary:
Spin magnetization, μB per formula unit: 0.0
Calculated total energy, eV for the cell shown: -89.425
Volume, Å³ per atom: 36.55
Energy relative to the elements, eV/f.u.: 2.06
Energy above the most stable polymorph in this dataset, eV per atom: 0.000
SG: R-3, No. 148